Entry 1:
Compound: ZrTcAu2
Source: the Alexandria database
Functional: PBEsol
Structure: optimized geometry

Computed properties:
**Energy of formation**: 0.01 eV per formula unit

```
ZrTcAu2
1.0
4.588 0.000 0.000
2.294 3.973 0.000
2.294 1.324 3.746
Au Tc Zr
2 1 1
Cartesian
0.000 0.000 0.000 Au
6.882 3.973 2.809 Au
4.588 2.649 1.873 Tc
2.294 1.324 0.936 Zr
```



Entry 2:
Compound: ZrTcAu
Source: the Alexandria database
Functional: PBEsol
Structure: optimized geometry

Computed properties:
**ΔE to the lowest computed polymorph**: 0.0 kJ/mol of atoms
**Energy of formation**: -0.05 eV per formula unit

```
ZrTcAu
1.0
2.845 0.016 0.000
-0.750 2.744 0.000
-1.047 -1.380 6.535
Au Tc Zr
1 1 1
Cartesian
0.000 0.000 0.043 Au
1.047 1.380 2.218 Tc
0.000 0.000 4.275 Zr
```



Entry 3:
Compound: Zr2TcAu
Source: the Alexandria database
Functional: PBEsol
Structure: optimized geometry

Computed properties:
**Energy of formation**: -2.01 eV per formula unit

```
Zr2TcAu
1.0
3.300 0.000 0.000
0.000 3.300 0.000
0.000 0.000 6.679
Au Tc Zr
1 1 2
Cartesian
1.650 1.650 0.000 Au
1.650 1.650 3.339 Tc
0.000 0.000 4.893 Zr
0.000 0.000 1.786 Zr
```